[1]
DFT (PBE) results for a geometry-optimized Tm4Mg2Cd3 structure.

DFT total energy: -25.20 eV/f.u.
N(E_F): 0.7104 states/eV/atom
Calculated volume: 25.4 Å³ per atom
DFT formation energy: -0.154 eV/atom
Space group: C2/m

Unit cell a=5.5331 b=5.5331 c=9.5110 alpha=101.76 beta=101.76 gamma=53.60
Fractional coordinates of all 9 atoms:
Tm  0.0343  0.0343  0.3338
Tm  0.3500  0.3500  0.1025
Tm  0.6500  0.6500  0.8975
Tm  0.9657  0.9657  0.6662
Mg  0.2961  0.2961  0.7481
Mg  0.7039  0.7039  0.2519
Cd  0.0000  0.0000  0.0000
Cd  0.3536  0.3536  0.4339
Cd  0.6464  0.6464  0.5661

***

[2]
DFT (PBE) results for a geometry-optimized Tm3MgCd5 structure.

DFT total energy: -21.65 eV/f.u.
N(E_F): 0.6561 states/eV/atom
Calculated volume: 23.9 Å³ per atom
DFT formation energy: -0.230 eV/atom
Space group: P6_3/mcm

Unit cell a=8.9542 b=8.9542 c=6.2061 alpha=90.00 beta=90.00 gamma=120.00
Fractional coordinates of all 18 atoms:
Tm  0.0000  0.3472  0.2500
Tm  0.0000  0.6528  0.7500
Tm  0.3472  0.0000  0.2500
Tm  0.3472  0.3472  0.7500
Tm  0.6528  0.0000  0.7500
Tm  0.6528  0.6528  0.2500
Mg  0.0000  0.0000  0.0000
Mg  0.0000  0.0000  0.5000
Cd  0.0000  0.3167  0.7500
Cd  0.0000  0.6832  0.2500
Cd  0.3167  0.0000  0.7500
Cd  0.3167  0.3167  0.2500
Cd  0.3333  0.6667  0.0000
Cd  0.3333  0.6667  0.5000
Cd  0.6667  0.3333  0.0000
Cd  0.6667  0.3333  0.5000
Cd  0.6832  0.0000  0.2500
Cd  0.6832  0.6832  0.7500